The following is a PBE calculation of a relaxed structure of MgCrMo2P, from the Alexandria database.

Results
As for the formation energy: 246 kJ/mol of formula units. Its space group is P4/mmm. The final energy is -7.147 eV/atom.

Cell lengths 4.519, 4.519, 4.223 Å; angles 90.00, 90.00, 90.00 degrees
Atoms (fractional coordinates):
1 Mg 0.000 0.000 0.000
2 Cr 0.500 0.500 0.000
3 Mo 0.000 0.500 0.500
4 Mo 0.500 0.000 0.500
5 P 0.500 0.500 0.500

The following is a PBE calculation of a relaxed structure of Nb2Cr3Fe, from the Alexandria database.

Results
As for the formation energy: -35 kJ/mol of formula units. Its space group is R-3m. The final energy is -9.640 eV/atom.

Cell lengths 4.955, 4.955, 4.955 Å; angles 58.30, 58.30, 58.30 degrees
Atoms (fractional coordinates):
1 Nb 0.124 0.124 0.124
2 Nb 0.876 0.876 0.876
3 Cr 0.000 0.500 0.500
4 Cr 0.500 0.000 0.500
5 Cr 0.500 0.500 0.000
6 Fe 0.500 0.500 0.500

The following is a PBE calculation of a relaxed structure of ZnGa8Ag5, from the Alexandria database.

Results
As for the formation energy: 65 kJ/mol of formula units. Its space group is I-4. The final energy is -2.791 eV/atom.

Cell lengths 6.967, 6.967, 6.967 Å; angles 107.68, 107.68, 113.11 degrees
Atoms (fractional coordinates):
1 Zn 0.000 0.000 0.000
2 Ga 0.135 0.716 0.845
3 Ga 0.160 0.271 0.791
4 Ga 0.284 0.130 0.419
5 Ga 0.481 0.369 0.209
6 Ga 0.631 0.840 0.111
7 Ga 0.710 0.865 0.581
8 Ga 0.729 0.519 0.889
9 Ga 0.870 0.290 0.155
10 Ag 0.276 0.684 0.234
11 Ag 0.316 0.550 0.592
12 Ag 0.450 0.042 0.766
13 Ag 0.750 0.250 0.500
14 Ag 0.958 0.724 0.408

The following is a PBE calculation of a relaxed structure of NaInRh2, from the Alexandria database.

Results
As for the formation energy: 15 kJ/mol of formula units. Its space group is P4/mmm. The final energy is -4.651 eV/atom.

Cell lengths 3.246, 3.246, 6.676 Å; angles 90.00, 90.00, 90.00 degrees
Atoms (fractional coordinates):
1 Na 0.000 0.000 0.000
2 In 0.000 0.000 0.500
3 Rh 0.500 0.500 0.275
4 Rh 0.500 0.500 0.725

The following is a PBE calculation of a relaxed structure of YMgTl3, from the Alexandria database.

Results
As for the formation energy: 256 kJ/mol of formula units. Its space group is Pm-3m. The final energy is -2.501 eV/atom. The offset from the most stable computed form is 289.7 meV/atom.

Cell lengths 5.938, 5.938, 5.938 Å; angles 90.00, 90.00, 90.00 degrees
Atoms (fractional coordinates):
1 Y 0.000 0.000 0.000
2 Mg 0.500 0.500 0.500
3 Tl 0.000 0.000 0.500
4 Tl 0.000 0.500 0.000
5 Tl 0.500 0.000 0.000

The following is a PBE calculation of a relaxed structure of OsPt2Pb, from the Alexandria database.

Results
As for the formation energy: 279 kJ/mol of formula units. Its space group is I-42d. The final energy is -6.033 eV/atom.

Cell lengths 7.935, 7.935, 7.935 Å; angles 140.10, 140.10, 57.70 degrees
Atoms (fractional coordinates):
1 Os 0.000 0.000 0.000
2 Os 0.750 0.250 0.500
3 Pt 0.062 0.625 0.937
4 Pt 0.375 0.312 0.437
5 Pt 0.688 0.125 0.063
6 Pt 0.875 0.938 0.563
7 Pb 0.250 0.750 0.500
8 Pb 0.500 0.500 0.000

The following is a PBE calculation of a relaxed structure of CeMgPb2, from the Alexandria database.

Results
As for the formation energy: -135 kJ/mol of formula units. Its space group is P4/mmm. The final energy is -4.086 eV/atom.

Cell lengths 4.935, 4.935, 4.528 Å; angles 90.00, 90.00, 90.00 degrees
Atoms (fractional coordinates):
1 Ce 0.000 0.000 0.000
2 Mg 0.500 0.500 0.000
3 Pb 0.000 0.500 0.500
4 Pb 0.500 0.000 0.500

The following is a PBE calculation of a relaxed structure of Ba2LiW, from the Alexandria database.

Results
As for the formation energy: 575 kJ/mol of formula units. Its space group is I-42d. The final energy is -3.187 eV/atom. The offset from the most stable computed form is 502.8 meV/atom.

Cell lengths 11.653, 11.653, 11.653 Å; angles 154.61, 154.61, 36.22 degrees
Atoms (fractional coordinates):
1 Ba 0.112 0.625 0.987
2 Ba 0.375 0.362 0.487
3 Ba 0.638 0.125 0.013
4 Ba 0.875 0.888 0.513
5 Li 0.250 0.750 0.500
6 Li 0.500 0.500 0.000
7 W 0.000 0.000 0.000
8 W 0.750 0.250 0.500

The following is a PBE calculation of a relaxed structure of LaCoB3, from the Alexandria database.

Results
As for the formation energy: 1394 kJ/mol of formula units. Its space group is Pm-3m. The final energy is -3.523 eV/atom. The offset from the most stable computed form is 2668.9 meV/atom.

Cell lengths 4.584, 4.584, 4.584 Å; angles 90.00, 90.00, 90.00 degrees
Atoms (fractional coordinates):
1 La 0.000 0.000 0.000
2 Co 0.500 0.500 0.500
3 B 0.000 0.000 0.500
4 B 0.000 0.500 0.000
5 B 0.500 0.000 0.000

The following is a PBE calculation of a relaxed structure of Ce3GeAs2Rh8, from the Alexandria database.

Results
As for the formation energy: -946 kJ/mol of formula units. Its space group is P-3m1. The final energy is -7.167 eV/atom.

Cell lengths 5.489, 5.489, 9.459 Å; angles 90.00, 90.00, 120.00 degrees
Atoms (fractional coordinates):
1 Ce 0.000 0.000 0.000
2 Ce 0.333 0.667 0.563
3 Ce 0.667 0.333 0.437
4 Ge 0.000 0.000 0.500
5 As 0.333 0.667 0.087
6 As 0.667 0.333 0.913
7 Rh 0.165 0.331 0.283
8 Rh 0.165 0.835 0.283
9 Rh 0.331 0.165 0.717
10 Rh 0.333 0.667 0.827
11 Rh 0.667 0.333 0.173
12 Rh 0.669 0.835 0.283
13 Rh 0.835 0.165 0.717
14 Rh 0.835 0.669 0.717

The following is a PBE calculation of a relaxed structure of PrTlAgCl6, from the Alexandria database.

Results
Its space group is P-31c. The value obtained for the uncorrected formation energy is -11.91 eV per formula unit. The final energy is -3.666 eV/atom.

Cell lengths 6.974, 6.974, 13.275 Å; angles 90.00, 90.00, 120.00 degrees
Atoms (fractional coordinates):
1 Pr 0.333 0.667 0.250
2 Pr 0.667 0.333 0.750
3 Tl 0.000 0.000 0.000
4 Tl 0.000 0.000 0.500
5 Ag 0.333 0.667 0.750
6 Ag 0.667 0.333 0.250
7 Cl 0.012 0.359 0.634
8 Cl 0.012 0.653 0.866
9 Cl 0.347 0.359 0.866
10 Cl 0.347 0.988 0.634
11 Cl 0.359 0.012 0.134
12 Cl 0.359 0.347 0.366
13 Cl 0.641 0.653 0.634
14 Cl 0.641 0.988 0.866
15 Cl 0.653 0.012 0.366
16 Cl 0.653 0.641 0.134
17 Cl 0.988 0.347 0.134
18 Cl 0.988 0.641 0.366

The following is a PBE calculation of a relaxed structure of MoPt2Au, from the Alexandria database.

Results
As for the formation energy: -25 kJ/mol of formula units. Its space group is R3m. The final energy is -6.613 eV/atom. The offset from the most stable computed form is 166.8 meV/atom.

Cell lengths 9.518, 9.518, 9.518 Å; angles 17.04, 17.04, 17.04 degrees
Atoms (fractional coordinates):
1 Mo 0.000 0.000 0.000
2 Pt 0.495 0.495 0.495
3 Pt 0.744 0.744 0.744
4 Au 0.248 0.248 0.248

- What is the formula in the second record?
  Nb2Cr3Fe

Copy entry 9 word for word.
The following is a PBE calculation of a relaxed structure of LaCoB3, from the Alexandria database.

Results
As for the formation energy: 1394 kJ/mol of formula units. Its space group is Pm-3m. The final energy is -3.523 eV/atom. The offset from the most stable computed form is 2668.9 meV/atom.

Cell lengths 4.584, 4.584, 4.584 Å; angles 90.00, 90.00, 90.00 degrees
Atoms (fractional coordinates):
1 La 0.000 0.000 0.000
2 Co 0.500 0.500 0.500
3 B 0.000 0.000 0.500
4 B 0.000 0.500 0.000
5 B 0.500 0.000 0.000

- What is the final energy in the seventh record?
  -4.086 eV/atom

- Which of these has the lowest final energy?
  Nb2Cr3Fe